First-principles (PBEsol) data for a relaxed KAg2P crystal, as listed in Alexandria via LeMat-Bulk.

Cell: 2.9616 4.4924 6.4113 Å, 90.00 98.40 90.00°
Closest atoms and distances in Å follow each position.
Space group P2/m (No. 10)
Asymmetric unit:
K1 0.0000 0.0000 0.0000  2 K 2.96, 4 Ag 3.26
Ag1 0.3307 0.5000 0.6872  2 P 2.63, 2 Ag 2.73-2.87
P1 0.5000 0.0000 0.5000  4 Ag 2.63

Calculated values
- formation energy (eV/f.u.) = 1.0
- N(E_F) (states/eV/atom) = 0.287
- calculated total energy (eV/atom) = -3.13



First-principles (PBEsol) data for a relaxed KSbMo2O8 crystal, as listed in Alexandria via LeMat-Bulk.

Cell: 5.0122 7.6765 10.0982 Å, 91.75 101.68 107.07°
Closest atoms and distances in Å follow each position.
Space group P-1 (No. 2)
Asymmetric unit:
K1 0.0728 0.4611 0.1936  6 O 2.69-2.82
Sb1 0.4518 0.0330 0.3104  4 O 2.04-2.26
Mo1 0.1309 0.2423 0.5767  4 O 1.71-1.87
Mo2 0.2860 0.1322 0.9611  3 O 1.71-1.89
O1 0.0163 0.7069 0.5817  1 Mo 1.73
O2 0.1303 0.0261 0.1160  2 Mo 1.98-2.06
O3 0.1478 0.7941 0.3227  1 Mo 1.85, 1 Sb 2.04
O4 0.2341 0.3416 0.9715  1 Mo 1.71
O5 0.2967 0.0688 0.5258  1 Mo 1.87
O6 0.3511 0.1198 0.7838  1 Mo 1.89, 1 Sb 2.06
O7 0.3650 0.8356 0.9397  1 Mo 1.77
O8 0.3848 0.4414 0.6500  1 Mo 1.71

Calculated values
- N(E_F) (states/eV/atom) = 0.000
- ΔE_f (raw) (eV per formula unit) = -22.96
- calculated total energy (eV/atom) = -7.85



First-principles (PBEsol) data for a relaxed MoRuN2O crystal, as listed in Alexandria via LeMat-Bulk.

Cell: 3.9207 3.9207 3.7688 Å, 90.00 90.00 90.00°
Closest atoms and distances in Å follow each position.
Space group P4/mmm (No. 123)
Asymmetric unit:
Mo1 0.0000 0.0000 0.0000  2 O 1.88, 4 N 1.96
Ru1 0.5000 0.5000 0.5000  8 N 2.72, 4 O 2.77
N1 0.0000 0.5000 0.0000  2 Mo 1.96
O1 0.0000 0.0000 0.5000  2 Mo 1.88

Calculated values
- N(E_F) (states/eV/atom) = 0.773
- ΔE_f (raw) (eV per formula unit) = 2.30
- calculated total energy (eV/atom) = -8.39



First-principles (PBEsol) data for a relaxed MgTaW crystal, as listed in Alexandria via LeMat-Bulk.

Cell: 2.8392 2.8392 7.4966 Å, 90.00 90.00 120.00°
Closest atoms and distances in Å follow each position.
Space group P3m1 (No. 156)
Asymmetric unit:
Mg1 0.0000 0.0000 0.0000  6 Mg 2.84, 3 W 2.95, 3 Ta 3.06
Ta1 0.6667 0.3333 0.6549  6 Ta 2.84, 3 W 2.96, 3 Mg 3.06
W1 0.3333 0.6667 0.3265  6 W 2.84, 3 Mg 2.95, 3 Ta 2.96

Calculated values
- formation energy (eV/f.u.) = 1.3
- N(E_F) (states/eV/atom) = 0.886
- calculated total energy (eV/atom) = -8.92



First-principles (PBEsol) data for a relaxed Rb2ReMoPt crystal, as listed in Alexandria via LeMat-Bulk.

Cell: 6.4487 6.4487 4.6905 Å, 90.00 90.00 90.00°
Closest atoms and distances in Å follow each position.
Space group P4/mmm (No. 123)
Asymmetric unit:
Rb1 0.0000 0.5000 0.0000  2 Mo 3.22
Re1 0.0000 0.0000 0.5000  8 Rb 3.99
Mo1 0.5000 0.5000 0.0000  2 Pt 2.35
Pt1 0.5000 0.5000 0.5000  2 Mo 2.35

Calculated values
- formation energy (eV/f.u.) = 12.3
- N(E_F) (states/eV/atom) = 0.818
- calculated total energy (eV/atom) = -4.36



First-principles (PBEsol) data for a relaxed Rb4PbO3 crystal, as listed in Alexandria via LeMat-Bulk.

Cell: 6.7639 11.9279 19.5489 Å, 90.00 90.00 90.00°
Closest atoms and distances in Å follow each position.
Space group Pbca (No. 61)
Asymmetric unit:
Rb1 0.0481 0.1199 0.2018  3 O 2.78-2.94
Rb2 0.1267 0.6703 0.6532  3 O 2.71-2.80
Rb3 0.2314 0.1899 0.4434  4 O 2.76-2.91
Rb4 0.2499 0.0562 0.0347  5 O 2.83-3.01
Pb1 0.1106 0.5617 0.8473  3 O 2.18-2.20
O1 0.0380 0.6023 0.1572  1 Pb 2.20
O2 0.0438 0.1438 0.5679  1 Pb 2.19
O3 0.1193 0.0130 0.9000  1 Pb 2.18

Calculated values
- N(E_F) (states/eV/atom) = 0.000
- ΔE_f (raw) (eV per formula unit) = -9.39
- calculated total energy (eV/atom) = -4.15



First-principles (PBEsol) data for a relaxed CuReW2 crystal, as listed in Alexandria via LeMat-Bulk.

Cell: 3.1710 4.2953 8.5456 Å, 90.00 90.00 90.00°
Closest atoms and distances in Å follow each position.
Space group Cmm2 (No. 35)
Asymmetric unit:
Cu1 0.0000 0.0000 0.0000  2 Re 2.60, 2 W 2.61, 4 Cu 2.67
Re1 0.0000 0.5000 0.7587  2 Cu 2.60, 4 Re 2.67, 2 W 2.70
W1 0.0000 0.0000 0.5035  6 W 2.67-2.73, 2 Re 2.70
W2 0.0000 0.5000 0.2428  2 Cu 2.61, 6 W 2.67-2.73

Calculated values
- E above lowest polymorph (meV/atom) = 0.0
- formation energy (eV/f.u.) = 1.0
- N(E_F) (states/eV/atom) = 0.578
- calculated total energy (eV/atom) = -11.08



First-principles (PBEsol) data for a relaxed SrSc2TaOs crystal, as listed in Alexandria via LeMat-Bulk.

Cell: 4.8876 4.8876 5.3843 Å, 90.00 90.00 90.00°
Closest atoms and distances in Å follow each position.
Space group P4/mmm (No. 123)
Asymmetric unit:
Sr1 0.0000 0.0000 0.0000  2 Ta 2.69
Sc1 0.0000 0.5000 0.5000  2 Ta 2.44
Ta1 0.0000 0.0000 0.5000  4 Sc 2.44, 2 Sr 2.69
Os1 0.5000 0.5000 0.0000  4 Sr 3.46, 8 Sc 3.64

Calculated values
- formation energy (eV/f.u.) = 9.0
- N(E_F) (states/eV/atom) = 1.552
- calculated total energy (eV/atom) = -6.17